Record 1
LaYSc2Te | GGA-PBE | optimized geometry

abc: 5.2012 5.2012 6.0134
angles: 90.00 90.00 90.00
Space group P4/mmm (No. 123)
One atom of each set of equivalent atoms:
La1 0.0000 0.0000 0.0000
Y1 0.5000 0.5000 0.5000
Sc1 0.0000 0.5000 0.0000
Te1 0.0000 0.0000 0.5000

Output
uncorrected formation energy = 0.507 eV/atom
volume = 162.7 Å³ per cell

***

Record 2
Ce3DyCo8 | GGA-PBE | optimized geometry

abc: 5.0043 5.0043 24.4815
angles: 90.00 90.00 120.00
Space group R3m (No. 160, hexagonal axes)
One atom of each set of equivalent atoms:
Ce1 0.0000 0.0000 0.0000
Ce2 0.0000 0.0000 0.1241
Ce3 0.0000 0.0000 0.4950
Dy1 0.0000 0.0000 0.6213
Co1 0.0000 0.0000 0.3092
Co2 0.0000 0.0000 0.8099
Co3 0.0007 0.5003 0.5600
Co4 0.1672 0.3343 0.3927

Output
formation energy = -0.22 eV per atom
volume = 531.0 Å³ per cell

***

Record 3
Ho4TlInC | GGA-PBE | optimized geometry

abc: 6.9631 15.0697 6.9613
angles: 90.00 90.00 90.00
Space group Cmcm (No. 63)
One atom of each set of equivalent atoms:
Ho1 0.0000 0.0877 0.2500
Ho2 0.0000 0.4114 0.2500
Ho3 0.2500 0.2500 0.0000
Tl1 0.0000 0.1179 0.7500
In1 0.0000 0.3815 0.7500
C1 0.0000 0.2501 0.2500

Output
formation energy = -0.36 eV per atom
volume = 730.5 Å³ per cell

***

Record 4
CsGaGe | GGA-PBE | optimized geometry

abc: 4.8117 4.8117 18.9517
angles: 90.00 90.00 90.00
Space group I4/mmm (No. 139)
One atom of each set of equivalent atoms:
Cs1 0.0000 0.0000 0.1557
Ga1 0.0000 0.5000 0.0000
Ge1 0.0000 0.0000 0.4293

Output
formation energy = -0.04 eV per atom
volume = 438.8 Å³ per cell